(1)
Hf2CoBRu: optimized geometry, GGA-PBE.

The structure belongs to space group P4/mmm (No. 123); the cell edges are 4.729, 4.729 and 3.658 Å and the angles 90.00°, 90.00° and 90.00°. The asymmetric unit holds Hf at (0.000, 0.500, 0.000), Co at (0.000, 0.000, 0.000), B at (0.000, 0.000, 0.500) and Ru at (0.500, 0.500, 0.500).

The calculation puts the density of states at the Fermi level at 3.363 states/eV/cell. For the total magnetization, the calculation gives 0.00 μB/cell. Its energy of formation from the pure elements is 1.1 eV/f.u.


(2)
La4PmY: optimized geometry, GGA-PBE.

The structure belongs to space group C2/m (No. 12); the cell edges are 6.430, 11.009 and 6.410 Å and the angles 90.00°, 110.00° and 90.00°. The asymmetric unit holds La at (0.000, 0.170, 0.000), La at (0.000, 0.330, 0.500), Pm at (0.000, 0.000, 0.500) and Y at (0.000, 0.500, 0.000).

The calculation puts the density of states at the Fermi level at 19.700 states/eV/cell. For the total magnetization, the calculation gives 0.00 μB/cell. Its energy of formation from the pure elements is 0.1 eV/f.u.


(3)
VCd2TeIr: optimized geometry, GGA-PBE.

The structure belongs to space group P4/mmm (No. 123); the cell edges are 5.447, 5.447 and 4.844 Å and the angles 90.00°, 90.00° and 90.00°. The asymmetric unit holds V at (0.000, 0.000, 0.000), Cd at (0.000, 0.500, 0.500), Te at (0.500, 0.500, 0.500) and Ir at (0.500, 0.500, 0.000).

The calculation puts the density of states at the Fermi level at 11.557 states/eV/cell. For the total magnetization, the calculation gives 0.42 μB/cell. The calculation puts the formation energy (no corrections) at 763 kJ/mol of formula units.


(4)
Na2CaZnSb2: optimized geometry, GGA-PBE.

The structure belongs to space group Pmc2_1 (No. 26); the cell edges are 4.633, 8.956 and 7.787 Å and the angles 90.00°, 90.00° and 90.00°. The asymmetric unit holds Na at (0.000, 0.085, 0.000), Na at (0.500, 0.160, 0.321), Ca at (0.500, 0.455, 0.972), Zn at (0.000, 0.322, 0.620), Sb at (0.000, 0.380, 0.253) and Sb at (0.500, 0.176, 0.717).

The calculation puts the density of states at the Fermi level at 0.501 states/eV/cell. For the total magnetization, the calculation gives 0.00 μB/cell. The calculation puts the formation energy (no corrections) at -338 kJ/mol of formula units.


(5)
RbReAgBr6: optimized geometry, GGA-PBE.

The structure belongs to space group P-31c (No. 163); the cell edges are 7.2381, 7.2381 and 14.7104 Å and the angles 90.00°, 90.00° and 120.00°. The asymmetric unit holds Rb at (0.0000, 0.0000, 0.0000), Re at (0.3333, 0.6667, 0.2500), Ag at (0.3333, 0.6667, 0.7500) and Br at (0.0386, 0.3912, 0.1501).

For the total magnetization, the calculation gives 5.99 μB/cell. The calculation puts the formation energy (no corrections) at -533 kJ/mol of formula units.


(6)
CoBiAs2Ir: optimized geometry, GGA-PBE.

The structure belongs to space group P4/mmm (No. 123); the cell edges are 4.349, 4.349 and 5.239 Å and the angles 90.00°, 90.00° and 90.00°. The asymmetric unit holds Co at (0.000, 0.000, 0.000), Bi at (0.500, 0.500, 0.500), As at (0.000, 0.500, 0.000) and Ir at (0.000, 0.000, 0.500).

The calculation puts the density of states at the Fermi level at 4.634 states/eV/cell. For the total magnetization, the calculation gives 0.00 μB/cell. Its energy of formation from the pure elements is 2.8 eV/f.u.


(7)
Os2RhBr: optimized geometry, GGA-PBE.

The structure belongs to space group I-4m2 (No. 119); the cell edges are 4.114, 4.114 and 7.308 Å and the angles 90.00°, 90.00° and 90.00°. The asymmetric unit holds Os at (0.000, 0.000, 0.000), Os at (0.000, 0.500, 0.250), Rh at (0.000, 0.500, 0.750) and Br at (0.000, 0.000, 0.500).

The calculation puts the density of states at the Fermi level at 7.064 states/eV/cell. For the total magnetization, the calculation gives 0.00 μB/cell. The energy above the most stable polymorph in this dataset is 587 meV per atom. The calculation puts the formation energy (no corrections) at 462 kJ/mol of formula units.


(8)
RbUSe2: optimized geometry, GGA-PBE.

The structure belongs to space group R3m (No. 160, hexagonal axes); the cell edges are 4.2095, 4.2095 and 24.6792 Å and the angles 90.00°, 90.00° and 120.00°. The asymmetric unit holds Rb at (0.0000, 0.0000, 0.0000), U at (0.0000, 0.0000, 0.1697), Se at (0.0000, 0.0000, 0.5690) and Se at (0.0000, 0.0000, 0.7699).

The calculation puts the density of states at the Fermi level at 13.804 states/eV/cell. For the total magnetization, the calculation gives 9.00 μB/cell. The calculation puts the formation energy (no corrections) at -460 kJ/mol of formula units.


(9)
MgTl5: optimized geometry, GGA-PBE.

The structure belongs to space group P-62m (No. 189); the cell edges are 5.8453, 5.8453 and 5.9097 Å and the angles 90.00°, 90.00° and 120.00°. The asymmetric unit holds Mg at (0.0000, 0.0000, 0.0000), Tl at (0.0000, 0.6704, 0.5000) and Tl at (0.3333, 0.6667, 0.0000).

The calculation puts the density of states at the Fermi level at 2.945 states/eV/cell. For the total magnetization, the calculation gives 0.00 μB/cell. Its energy of formation from the pure elements is 0.2 eV/f.u.


(10)
TbScTlZn: optimized geometry, GGA-PBE.

The structure belongs to space group F-43m (No. 216); the cell edges are 7.209, 7.209 and 7.209 Å and the angles 90.00°, 90.00° and 90.00°. The asymmetric unit holds Tb at (0.000, 0.000, 0.000), Sc at (0.000, 0.000, 0.500), Tl at (0.250, 0.250, 0.750) and Zn at (0.250, 0.250, 0.250).

The calculation puts the density of states at the Fermi level at 17.983 states/eV/cell. For the total magnetization, the calculation gives 0.74 μB/cell. The energy above the most stable polymorph in this dataset is 33 meV per atom. Its energy of formation from the pure elements is -1.2 eV/f.u.


(11)
RbNb3H: optimized geometry, GGA-PBE.

The structure belongs to space group Pm-3m (No. 221); the cell edges are 4.818, 4.818 and 4.818 Å and the angles 90.00°, 90.00° and 90.00°. The asymmetric unit holds Rb at (0.000, 0.000, 0.000), Nb at (0.000, 0.000, 0.500) and H at (0.500, 0.500, 0.500).

The calculation puts the density of states at the Fermi level at 5.589 states/eV/cell. For the total magnetization, the calculation gives 0.00 μB/cell. The energy above the most stable polymorph in this dataset is 2189 meV per atom.


(12)
Hf6Ir3O: optimized geometry, GGA-PBE.

The structure belongs to space group P2_1/c (No. 14); the cell edges are 5.710, 7.230 and 10.323 Å and the angles 90.00°, 120.57° and 90.00°. The asymmetric unit holds Hf at (0.073, 0.061, 0.241), Hf at (0.217, 0.722, 0.071), Hf at (0.385, 0.150, 0.049), Ir at (0.314, 0.099, 0.720), Ir at (0.500, 0.000, 0.500) and O at (0.000, 0.000, 0.000).

The calculation puts the density of states at the Fermi level at 14.208 states/eV/cell. For the total magnetization, the calculation gives 0.00 μB/cell. The calculation puts the formation energy (no corrections) at -970 kJ/mol of formula units.


(13)
Mg3Zn3NiRh2: optimized geometry, GGA-PBE.

The structure belongs to space group P-62m (No. 189); the cell edges are 7.2599, 7.2599 and 3.0354 Å and the angles 90.00°, 90.00° and 120.00°. The asymmetric unit holds Mg at (0.0000, 0.3843, 0.0000), Zn at (0.0000, 0.7212, 0.5000), Ni at (0.0000, 0.0000, 0.0000) and Rh at (0.3333, 0.6667, 0.5000).

The calculation puts the density of states at the Fermi level at 3.342 states/eV/cell. For the total magnetization, the calculation gives 0.00 μB/cell. Its energy of formation from the pure elements is -2.9 eV/f.u.


(14)
CaLa2Se: optimized geometry, GGA-PBE.

The structure belongs to space group Amm2 (No. 38); the cell edges are 3.893, 4.021 and 17.031 Å and the angles 90.00°, 90.00° and 90.00°. The asymmetric unit holds Ca at (0.000, 0.000, 0.000), La at (0.000, 0.000, 0.701), La at (0.500, 0.000, 0.347) and Se at (0.500, 0.000, 0.548).

The calculation puts the density of states at the Fermi level at 9.810 states/eV/cell. For the total magnetization, the calculation gives 0.45 μB/cell. The calculation puts the formation energy (no corrections) at -298 kJ/mol of formula units.


(15)
YBPdN2: optimized geometry, GGA-PBE.

The structure belongs to space group P4/mmm (No. 123); the cell edges are 3.649, 3.649 and 4.705 Å and the angles 90.00°, 90.00° and 90.00°. The asymmetric unit holds Y at (0.000, 0.000, 0.000), B at (0.000, 0.000, 0.500), Pd at (0.500, 0.500, 0.000) and N at (0.000, 0.500, 0.500).

The calculation puts the density of states at the Fermi level at 2.812 states/eV/cell. For the total magnetization, the calculation gives 0.18 μB/cell. The calculation puts the formation energy (no corrections) at 575 kJ/mol of formula units.


(16)
Cu2BSbRu: optimized geometry, GGA-PBE.

The structure belongs to space group P4/mmm (No. 123); the cell edges are 4.750, 4.750 and 4.320 Å and the angles 90.00°, 90.00° and 90.00°. The asymmetric unit holds Cu at (0.000, 0.500, 0.000), B at (0.000, 0.000, 0.500), Sb at (0.000, 0.000, 0.000) and Ru at (0.500, 0.500, 0.500).

The calculation puts the density of states at the Fermi level at 5.280 states/eV/cell. For the total magnetization, the calculation gives 2.08 μB/cell. The calculation puts the formation energy (no corrections) at 866 kJ/mol of formula units.


(17)
Zr2HgBrO: optimized geometry, GGA-PBE.

The structure belongs to space group P4/mmm (No. 123); the cell edges are 4.352, 4.352 and 5.610 Å and the angles 90.00°, 90.00° and 90.00°. The asymmetric unit holds Zr at (0.000, 0.500, 0.000), Hg at (0.000, 0.000, 0.500), Br at (0.500, 0.500, 0.500) and O at (0.500, 0.500, 0.000).

The calculation puts the density of states at the Fermi level at 5.255 states/eV/cell. For the total magnetization, the calculation gives 0.00 μB/cell. The calculation puts the formation energy (no corrections) at -360 kJ/mol of formula units.


(18)
LaPmPrIn: optimized geometry, GGA-PBE.

The structure belongs to space group I-4m2 (No. 119); the cell edges are 4.940, 4.940 and 10.324 Å and the angles 90.00°, 90.00° and 90.00°. The asymmetric unit holds La at (0.000, 0.000, 0.000), Pm at (0.000, 0.500, 0.250), Pr at (0.000, 0.500, 0.750) and In at (0.000, 0.000, 0.500).

The calculation puts the density of states at the Fermi level at 11.322 states/eV/cell. For the total magnetization, the calculation gives 0.00 μB/cell. The energy above the most stable polymorph in this dataset is 0 meV per atom. Its energy of formation from the pure elements is -1.0 eV/f.u.


(19)
Ca2RhAu: optimized geometry, GGA-PBE.

The structure belongs to space group I-42d (No. 122); the cell edges are 4.699, 4.699 and 18.286 Å and the angles 90.00°, 90.00° and 90.00°. The asymmetric unit holds Ca at (0.235, 0.250, 0.125), Rh at (0.000, 0.000, 0.000) and Au at (0.000, 0.000, 0.500).

The calculation puts the density of states at the Fermi level at 9.596 states/eV/cell. For the total magnetization, the calculation gives 0.00 μB/cell. Its energy of formation from the pure elements is 0.2 eV/f.u.


(20)
Ba8SiSn2: optimized geometry, GGA-PBE.

The structure belongs to space group C2/m (No. 12); the cell edges are 21.926, 5.838 and 8.003 Å and the angles 90.00°, 105.45° and 90.00°. The asymmetric unit holds Ba at (0.027, 0.000, 0.298), Ba at (0.092, 0.500, 0.921), Ba at (0.154, 0.500, 0.455), Ba at (0.215, 0.000, 0.803), Si at (0.000, 0.500, 0.500) and Sn at (0.185, 0.000, 0.220).

The calculation puts the density of states at the Fermi level at 18.280 states/eV/cell. For the total magnetization, the calculation gives 0.00 μB/cell. The calculation puts the formation energy (no corrections) at -371 kJ/mol of formula units.


(21)
GeSb2Te4: optimized geometry, GGA-PBE.

The structure belongs to space group R-3m (No. 166, hexagonal axes); the cell edges are 4.3166, 4.3166 and 39.6590 Å and the angles 90.00°, 90.00° and 120.00°. The asymmetric unit holds Ge at (0.0000, 0.0000, 0.0000), Sb at (0.0000, 0.0000, 0.1401), Te at (0.0000, 0.0000, 0.2917) and Te at (0.0000, 0.0000, 0.4297).

The calculation puts the density of states at the Fermi level at 6.850 states/eV/cell. For the total magnetization, the calculation gives 0.00 μB/cell. The calculation puts the formation energy (no corrections) at 5 kJ/mol of formula units.


(22)
Ca2LaHg5: optimized geometry, GGA-PBE.

The structure belongs to space group I4/mmm (No. 139); the cell edges are 5.338, 5.338 and 15.000 Å and the angles 90.00°, 90.00° and 90.00°. The asymmetric unit holds Ca at (0.000, 0.000, 0.237), La at (0.000, 0.000, 0.500), Hg at (0.000, 0.000, 0.000) and Hg at (0.000, 0.500, 0.128).

The calculation puts the density of states at the Fermi level at 9.269 states/eV/cell. For the total magnetization, the calculation gives 0.00 μB/cell. Its energy of formation from the pure elements is -3.8 eV/f.u.


(23)
Pd5Pt4Au: optimized geometry, GGA-PBE.

The structure belongs to space group P4/mmm (No. 123); the cell edges are 2.804, 2.804 and 19.923 Å and the angles 90.00°, 90.00° and 90.00°. The asymmetric unit holds Pd at (0.000, 0.000, 0.000), Pd at (0.000, 0.000, 0.197), Pd at (0.000, 0.000, 0.395), Pt at (0.500, 0.500, 0.099), Pt at (0.500, 0.500, 0.296) and Au at (0.500, 0.500, 0.500).

The calculation puts the density of states at the Fermi level at 20.801 states/eV/cell. For the total magnetization, the calculation gives 0.00 μB/cell. The energy above the most stable polymorph in this dataset is 0 meV per atom. Its energy of formation from the pure elements is -0.4 eV/f.u.


(24)
Ce2Co3Ge4Pd: optimized geometry, GGA-PBE.

The structure belongs to space group P-4m2 (No. 115); the cell edges are 4.136, 4.136 and 9.844 Å and the angles 90.00°, 90.00° and 90.00°. The asymmetric unit holds Ce at (0.000, 0.500, 0.240), Co at (0.000, 0.500, 0.877), Co at (0.500, 0.500, 0.500), Ge at (0.000, 0.000, 0.000), Ge at (0.000, 0.500, 0.640), Ge at (0.500, 0.500, 0.000) and Pd at (0.000, 0.000, 0.500).

The calculation puts the density of states at the Fermi level at 10.005 states/eV/cell. For the total magnetization, the calculation gives 1.18 μB/cell. Its energy of formation from the pure elements is -6.3 eV/f.u.


(25)
CdGeAs3: optimized geometry, GGA-PBE.

The structure belongs to space group Pm-3m (No. 221); the cell edges are 5.131, 5.131 and 5.131 Å and the angles 90.00°, 90.00° and 90.00°. The asymmetric unit holds Cd at (0.000, 0.000, 0.000), Ge at (0.500, 0.500, 0.500) and As at (0.000, 0.000, 0.500).

The calculation puts the density of states at the Fermi level at 5.379 states/eV/cell. For the total magnetization, the calculation gives 0.00 μB/cell. The energy above the most stable polymorph in this dataset is 917 meV per atom. Its energy of formation from the pure elements is 5.2 eV/f.u.